Crystalline K3CrO4 at its relaxed geometry, computed with PBE+U.

Geometry as CIF:
```
data_K3CrO4
_chemical_formula_sum 'K12 Cr4 O16'
_space_group_name_H-M_alt 'P n m a'
_space_group_IT_number 62
_space_group_name_Hall '-P 2ac 2n'
_cell_length_a 7.8489
_cell_length_b 8.7279
_cell_length_c 8.5055
_cell_angle_alpha 90.00
_cell_angle_beta 90.00
_cell_angle_gamma 90.00
loop_
_atom_site_label
_atom_site_fract_x
_atom_site_fract_y
_atom_site_fract_z
K1 0.0411 0.0281 0.2247
K2 0.1740 0.7500 0.4757
Cr1 0.2225 0.7500 0.9888
O1 0.0180 0.7500 0.0681
O2 0.1783 0.0819 0.5435
O3 0.2135 0.7500 0.7838
```

Summary:
The total DFT energy (no corrections) is -5.48 eV per atom.